[1]
The following is a DFT calculation (GGA-PBE) of a relaxed structure of Li2PmYHg4.

Structure (POSCAR):
```
Li2PmYHg4
1.0
5.0683 0.0000 0.0000
2.5342 4.3893 0.0000
2.5342 1.4631 8.3044
Li Pm Y Hg
2 1 1 4
direct
0.7513 0.7513 0.7461 Li
0.2487 0.2487 0.2539 Li
0.0000 0.0000 0.0000 Pm
0.5000 0.5000 0.5000 Y
0.3770 0.3770 0.8692 Hg
0.8736 0.8736 0.3791 Hg
0.1264 0.1264 0.6209 Hg
0.6230 0.6230 0.1308 Hg
```

Summary:
Density, g/cm3: 9.44
Symmetry: No. 166
Final energy, Ry per atom: -0.1824

***

[2]
The following is a DFT calculation (GGA-PBE) of a relaxed structure of LiPmYHg.

Structure (POSCAR):
```
LiPmYHg
1.0
5.2970 0.0000 0.0000
2.6485 4.5874 0.0000
2.6485 1.5291 4.3250
Y Li Hg Pm
1 1 1 1
direct
0.7500 0.7500 0.7500 Y
0.0000 0.0000 0.0000 Li
0.5000 0.5000 0.5000 Hg
0.2500 0.2500 0.2500 Pm
```

Summary:
Density, g/cm3: 6.97
Symmetry: No. 216
Final energy, Ry per atom: -0.2630

***

[3]
The following is a DFT calculation (GGA-PBE) of a relaxed structure of Li2PmZnHg4.

Structure (POSCAR):
```
Li2PmZnHg4
1.0
-1.7816 -4.2961 -0.4696
2.8344 -3.6322 -0.7906
1.1624 -3.9576 8.5304
Li Pm Zn Hg
2 1 1 4
direct
0.7667 0.7667 0.6999 Li
0.2333 0.2333 0.3001 Li
0.0000 0.0000 0.0000 Pm
0.5000 0.5000 0.5000 Zn
0.3924 0.3924 0.8228 Hg
0.8751 0.8751 0.3748 Hg
0.1249 0.1249 0.6252 Hg
0.6076 0.6076 0.1772 Hg
```

Summary:
Density, g/cm3: 9.92
Symmetry: No. 166
Final energy, Ry per atom: -0.1242

***

[4]
The following is a DFT calculation (GGA-PBE) of a relaxed structure of LiPr2Hg2.

Structure (POSCAR):
```
LiPr2Hg2
1.0
6.3256 0.0000 0.0000
0.0000 6.6654 0.0000
-3.1628 -3.3327 6.7236
Li Pr Hg
2 4 4
direct
0.7500 0.5000 0.0000 Li
0.2500 0.5000 0.0000 Li
0.8525 0.6641 0.7050 Pr
0.1475 0.3359 0.2950 Pr
0.6475 0.9592 0.2950 Pr
0.3525 0.0408 0.7050 Pr
0.3832 0.5942 0.7664 Hg
0.6168 0.4058 0.2336 Hg
0.1168 0.8278 0.2336 Hg
0.8832 0.1722 0.7664 Hg
```

Summary:
Density, g/cm3: 8.08
Energy above the lowest structure with this stoichiometry, meV per atom: 80
Symmetry: No. 72
Final energy, Ry per atom: -0.1967

***

[5]
The following is a DFT calculation (GGA-PBE) of a relaxed structure of Li2Pr2Hg.

Structure (POSCAR):
```
Li2Pr2Hg
1.0
3.6905 -0.0039 0.9047
-0.2255 3.6843 0.9043
-0.4576 -0.4869 9.8120
Li Pr Hg
2 2 1
direct
0.9825 0.7826 0.4356 Li
0.4176 0.2172 0.5644 Li
0.8016 0.6015 0.7964 Pr
0.5983 0.3985 0.2037 Pr
0.2000 0.0001 0.0000 Hg
```

Summary:
Density, g/cm3: 6.03
Symmetry: No. 69
Final energy, Ry per atom: -0.2105

***

[6]
The following is a DFT calculation (GGA-PBE) of a relaxed structure of Li2PrHg.

Structure (POSCAR):
```
Li2PrHg
1.0
4.7567 0.0000 0.0000
0.0000 5.7297 0.0000
0.0000 0.0000 7.0126
Li Pr Hg
4 2 2
direct
0.0000 0.2400 0.8926 Li
0.0000 0.7600 0.8926 Li
0.5000 0.2600 0.1074 Li
0.5000 0.7400 0.1074 Li
0.0000 0.0000 0.4271 Pr
0.5000 0.5000 0.5729 Pr
0.0000 0.5000 0.2350 Hg
0.5000 0.0000 0.7650 Hg
```

Summary:
Density, g/cm3: 6.18
Energy above the lowest structure with this stoichiometry, meV per atom: 0
Symmetry: No. 59
Final energy, Ry per atom: -0.1811

***

[7]
The following is a DFT calculation (GGA-PBE) of a relaxed structure of Li2Pr3Hg6.

Structure (POSCAR):
```
Li2Pr3Hg6
1.0
-3.3282 3.1356 -1.3556
-1.3485 -2.9449 -3.5008
-5.7852 -5.4263 10.0417
Li Pr Hg
2 3 6
direct
0.4480 0.4480 0.8961 Li
0.5520 0.5520 0.1039 Li
0.0000 0.0000 0.0000 Pr
0.8063 0.8063 0.6127 Pr
0.1937 0.1937 0.3873 Pr
0.0963 0.5963 0.1927 Hg
0.5963 0.0963 0.1927 Hg
0.9037 0.4037 0.8073 Hg
0.4037 0.9037 0.8073 Hg
0.6800 0.6800 0.3600 Hg
0.3200 0.3200 0.6400 Hg
```

Summary:
Density, g/cm3: 9.70
Symmetry: No. 139
Final energy, Ry per atom: -0.1578

***

[8]
The following is a DFT calculation (GGA-PBE) of a relaxed structure of LiPrHg4.

Structure (POSCAR):
```
LiPrHg4
1.0
4.7434 0.0000 0.0000
0.0000 4.7434 0.0000
0.0000 0.0000 7.3401
Li Pr Hg
1 1 4
direct
0.5000 0.5000 0.5000 Li
0.0000 0.0000 0.0000 Pr
0.5000 0.0000 0.7076 Hg
0.0000 0.5000 0.7076 Hg
0.5000 0.0000 0.2924 Hg
0.0000 0.5000 0.2924 Hg
```

Summary:
Density, g/cm3: 9.55
Energy above the lowest structure with this stoichiometry, meV per atom: 154
Symmetry: No. 123
Final energy, Ry per atom: -0.1098

***

[9]
The following is a DFT calculation (GGA-PBE) of a relaxed structure of LiPr2Hg5.

Structure (POSCAR):
```
LiPr2Hg5
1.0
5.2416 0.0000 0.0000
0.0000 5.2416 0.0000
-2.6208 -2.6208 7.3910
Li Pr Hg
1 2 5
direct
0.0000 0.0000 0.0000 Li
0.7405 0.7405 0.4809 Pr
0.2595 0.2595 0.5191 Pr
0.5000 0.5000 0.0000 Hg
0.8860 0.3860 0.7720 Hg
0.3860 0.8860 0.7720 Hg
0.1140 0.6140 0.2280 Hg
0.6140 0.1140 0.2280 Hg
```

Summary:
Density, g/cm3: 10.56
Symmetry: No. 139
Final energy, Ry per atom: -0.1433

***

[10]
The following is a DFT calculation (GGA-PBE) of a relaxed structure of LiPrHg.

Structure (POSCAR):
```
LiPrHg
1.0
-1.5086 -0.1317 3.5404
-0.2420 -3.8352 -0.2458
5.5420 1.5625 0.3255
Pr Hg Li
1 1 1
direct
0.6127 0.6127 0.2255 Pr
0.9320 0.9320 0.8639 Hg
0.3053 0.3053 0.6106 Li
```

Summary:
Density, g/cm3: 7.68
Energy above the lowest structure with this stoichiometry, meV per atom: 84
Symmetry: No. 107
Final energy, Ry per atom: -0.1906

***

[11]
The following is a DFT calculation (GGA-PBE) of a relaxed structure of LiPrHg3.

Structure (POSCAR):
```
LiPrHg3
1.0
-2.9880 0.6314 -3.8594
-3.8950 -0.9162 2.8656
-0.3508 4.7942 1.0560
Pr Hg Li
1 3 1
direct
0.5000 0.5000 0.5000 Pr
0.0000 0.5000 0.0000 Hg
0.0000 0.0000 0.5000 Hg
0.5000 0.0000 0.0000 Hg
0.0000 0.0000 0.0000 Li
```

Summary:
Density, g/cm3: 10.44
Energy above the lowest structure with this stoichiometry, meV per atom: 100
Symmetry: No. 221
Final energy, Ry per atom: -0.1315

***

[12]
The following is a DFT calculation (GGA-PBE) of a relaxed structure of LiPr6Hg.

Structure (POSCAR):
```
LiPr6Hg
1.0
-2.6398 2.6398 9.2622
2.6398 -2.6398 9.2622
2.6398 2.6398 -9.2622
Li Pr Hg
1 6 1
direct
0.0000 0.0000 0.0000 Li
0.2481 0.2481 0.0000 Pr
0.8894 0.3894 0.5000 Pr
0.3894 0.8894 0.5000 Pr
0.1106 0.6106 0.5000 Pr
0.7519 0.7519 0.0000 Pr
0.6106 0.1106 0.5000 Pr
0.5000 0.5000 0.0000 Hg
```

Summary:
Density, g/cm3: 6.77
Symmetry: No. 139
Final energy, Ry per atom: -0.2911

***

[13]
The following is a DFT calculation (GGA-PBE) of a relaxed structure of LiPr2Hg.

Structure (POSCAR):
```
LiPr2Hg
1.0
-0.3061 0.3858 3.9660
-3.7638 -3.7588 0.0751
3.7374 -3.7294 0.6512
Pr Hg Li
2 1 1
direct
0.0000 0.0000 0.5000 Pr
0.0000 0.5000 0.0000 Pr
0.5000 0.5000 0.5000 Hg
0.5000 0.0000 0.0000 Li
```

Summary:
Density, g/cm3: 7.18
Energy above the lowest structure with this stoichiometry, meV per atom: 0
Symmetry: No. 123
Final energy, Ry per atom: -0.2325

***

[14]
The following is a DFT calculation (GGA-PBE) of a relaxed structure of Li3Pr2Hg4.

Structure (POSCAR):
```
Li3Pr2Hg4
1.0
5.1355 -0.0775 0.1707
2.5182 4.4524 0.5927
0.2958 0.4249 9.2535
Li Pr Hg
3 2 4
direct
0.3181 0.2516 0.4158 Li
0.0000 0.0000 0.0000 Li
0.6819 0.7484 0.5842 Li
0.3322 0.4045 0.7627 Pr
0.6678 0.5955 0.2373 Pr
0.6748 0.7047 0.8934 Hg
0.0119 0.8878 0.3613 Hg
0.9881 0.1122 0.6387 Hg
0.3252 0.2953 0.1066 Hg
```

Summary:
Density, g/cm3: 8.65
Energy above the lowest structure with this stoichiometry, meV per atom: 0
Symmetry: No. 2
Final energy, Ry per atom: -0.1630

***

[15]
The following is a DFT calculation (GGA-PBE) of a relaxed structure of Li3PrHg9.

Structure (POSCAR):
```
Li3PrHg9
1.0
0.2393 -5.1093 2.5505
6.9119 -3.0826 -0.3321
1.8375 0.6278 7.4893
Li Pr Hg
3 1 9
direct
0.5000 0.5000 0.0000 Li
0.0000 0.0000 0.5000 Li
0.5000 0.0000 0.5000 Li
0.0000 0.0000 0.0000 Pr
0.6895 0.7902 0.7814 Hg
0.3105 0.2098 0.2186 Hg
0.5290 0.2098 0.7814 Hg
0.4710 0.7902 0.2186 Hg
0.6674 0.3245 0.3534 Hg
0.3326 0.6755 0.6466 Hg
0.9792 0.6755 0.3534 Hg
0.0208 0.3245 0.6466 Hg
0.0000 0.5000 0.0000 Hg
```

Summary:
Density, g/cm3: 11.36
Symmetry: No. 12
Final energy, Ry per atom: -0.0929

***

[16]
The following is a DFT calculation (GGA-PBE) of a relaxed structure of Li6Pr3Hg5.

Structure (POSCAR):
```
Li6Pr3Hg5
1.0
4.7948 0.0000 0.0000
0.0000 9.7265 0.0000
0.0000 0.0000 13.4184
Li Pr Hg
12 6 10
direct
0.0000 0.9634 0.8525 Li
0.5000 0.0366 0.6475 Li
0.5000 0.3943 0.8382 Li
0.5000 0.5741 0.0000 Li
0.0000 0.4259 0.5000 Li
0.0000 0.6057 0.6617 Li
0.0000 0.6057 0.3382 Li
0.5000 0.9266 0.0000 Li
0.0000 0.9634 0.1475 Li
0.5000 0.3943 0.1618 Li
0.0000 0.0734 0.5000 Li
0.5000 0.0366 0.3525 Li
0.0000 0.2556 0.7091 Pr
0.5000 0.7444 0.2091 Pr
0.5000 0.7444 0.7909 Pr
0.0000 0.2397 0.0000 Pr
0.5000 0.7603 0.5000 Pr
0.0000 0.2556 0.2909 Pr
0.0000 0.5237 0.8671 Hg
0.0000 0.8897 0.6520 Hg
0.0000 0.7716 0.0000 Hg
0.5000 0.4763 0.6329 Hg
0.5000 0.2284 0.5000 Hg
0.0000 0.5237 0.1329 Hg
0.5000 0.4763 0.3671 Hg
0.0000 0.8897 0.3480 Hg
0.5000 0.1103 0.8480 Hg
0.5000 0.1103 0.1520 Hg
```

Summary:
Density, g/cm3: 7.79
Symmetry: No. 59
Final energy, Ry per atom: -0.1672

***

[17]
The following is a DFT calculation (GGA-PBE) of a relaxed structure of Li6PrHg2.

Structure (POSCAR):
```
Li6PrHg2
1.0
4.1665 0.0000 0.0000
0.0000 4.1665 0.0000
0.0000 0.0000 11.2774
Li Pr Hg
6 1 2
direct
0.0000 0.5000 0.2982 Li
0.5000 0.0000 0.2982 Li
0.0000 0.5000 0.7018 Li
0.5000 0.0000 0.7018 Li
0.5000 0.5000 0.5000 Li
0.0000 0.0000 0.5000 Li
0.0000 0.0000 0.0000 Pr
0.5000 0.5000 0.1403 Hg
0.5000 0.5000 0.8597 Hg
```

Summary:
Density, g/cm3: 4.95
Symmetry: No. 123
Final energy, Ry per atom: -0.1520

***

[18]
The following is a DFT calculation (GGA-PBE) of a relaxed structure of Li2Pr3Hg3.

Structure (POSCAR):
```
Li2Pr3Hg3
1.0
-4.1616 0.9430 -2.4460
4.4864 -1.3714 -3.2170
-4.1377 -15.7800 0.9565
Li Pr Hg
4 6 6
direct
0.7691 0.5381 0.9108 Li
0.2309 0.4619 0.4108 Li
0.7691 0.5381 0.5892 Li
0.2309 0.4619 0.0892 Li
0.9255 0.8510 0.3889 Pr
0.0745 0.1490 0.8889 Pr
0.9255 0.8510 0.1111 Pr
0.0745 0.1490 0.6111 Pr
0.6227 0.2455 0.2500 Pr
0.3773 0.7545 0.7500 Pr
0.6216 0.2431 0.4487 Hg
0.3784 0.7569 0.9487 Hg
0.6216 0.2431 0.0513 Hg
0.3784 0.7569 0.5513 Hg
0.3201 0.6402 0.2500 Hg
0.6799 0.3598 0.7500 Hg
```

Summary:
Density, g/cm3: 8.36
Energy above the lowest structure with this stoichiometry, meV per atom: 0
Symmetry: No. 63
Final energy, Ry per atom: -0.2012

***

[19]
The following is a DFT calculation (GGA-PBE) of a relaxed structure of LiPrHg4.

Structure (POSCAR):
```
LiPrHg4
1.0
5.9734 0.0000 0.0000
2.9867 5.1731 0.0000
2.9867 1.7244 4.8772
Pr Hg Li
1 4 1
direct
0.0000 0.0000 0.0000 Pr
0.6248 0.6248 0.1256 Hg
0.6248 0.1256 0.6248 Hg
0.6248 0.6248 0.6248 Hg
0.1256 0.6248 0.6248 Hg
0.2500 0.2500 0.2500 Li
```

Summary:
Density, g/cm3: 10.47
Energy above the lowest structure with this stoichiometry, meV per atom: 158
Symmetry: No. 216
Final energy, Ry per atom: -0.1096

***

[20]
The following is a DFT calculation (GGA-PBE) of a relaxed structure of Li3PrHg3.

Structure (POSCAR):
```
Li3PrHg3
1.0
7.0098 0.0000 0.0000
0.0000 7.0098 0.0000
0.0000 0.0000 7.0098
Pr Hg Li
2 6 6
direct
0.5000 0.5000 0.5000 Pr
0.0000 0.0000 0.0000 Pr
0.0000 0.2500 0.5000 Hg
0.0000 0.7500 0.5000 Hg
0.5000 0.0000 0.7500 Hg
0.7500 0.5000 0.0000 Hg
0.5000 0.0000 0.2500 Hg
0.2500 0.5000 0.0000 Hg
0.2500 0.0000 0.5000 Li
0.0000 0.5000 0.2500 Li
0.5000 0.7500 0.0000 Li
0.7500 0.0000 0.5000 Li
0.0000 0.5000 0.7500 Li
0.5000 0.2500 0.0000 Li
```

Summary:
Density, g/cm3: 7.36
Symmetry: No. 223
Final energy, Ry per atom: -0.1225

***

[21]
The following is a DFT calculation (GGA-PBE) of a relaxed structure of Li2PrHg.

Structure (POSCAR):
```
Li2PrHg
1.0
-1.2141 1.4536 4.5685
-4.4392 -1.1379 1.8591
-0.3782 -3.3307 3.6361
Pr Hg Li
1 1 2
direct
0.0000 0.0000 0.0000 Pr
0.5000 0.5000 0.5000 Hg
0.2500 0.2500 0.2500 Li
0.7500 0.7500 0.7500 Li
```

Summary:
Density, g/cm3: 6.90
Energy above the lowest structure with this stoichiometry, meV per atom: 51
Symmetry: No. 225
Final energy, Ry per atom: -0.1774

***

[22]
The following is a DFT calculation (GGA-PBE) of a relaxed structure of LiPr2Hg2.

Structure (POSCAR):
```
LiPr2Hg2
1.0
4.1486 0.0000 1.2237
1.6313 5.5271 2.1136
0.4491 0.0284 6.1217
Li Pr Hg
1 2 2
direct
0.0000 0.0000 0.0000 Li
0.2029 0.2971 0.2971 Pr
0.7971 0.7029 0.7029 Pr
0.5000 0.2578 0.7422 Hg
0.5000 0.7422 0.2578 Hg
```

Summary:
Density, g/cm3: 8.35
Energy above the lowest structure with this stoichiometry, meV per atom: 0
Symmetry: No. 71
Final energy, Ry per atom: -0.2026

***

[23]
The following is a DFT calculation (GGA-PBE) of a relaxed structure of LiPrHg4.

Structure (POSCAR):
```
LiPrHg4
1.0
3.8930 0.0000 1.1260
2.1505 5.0118 -0.1423
-0.1081 -1.5409 7.6667
Li Pr Hg
1 1 4
direct
0.0000 0.0000 0.0000 Li
0.5000 0.5000 0.5000 Pr
0.8117 0.5239 0.8527 Hg
0.3610 0.9763 0.3017 Hg
0.1883 0.4761 0.1473 Hg
0.6390 0.0237 0.6983 Hg
```

Summary:
Density, g/cm3: 10.84
Energy above the lowest structure with this stoichiometry, meV per atom: 0
Symmetry: No. 12
Final energy, Ry per atom: -0.1212

***

[24]
The following is a DFT calculation (GGA-PBE) of a relaxed structure of LiPr2Hg.

Structure (POSCAR):
```
LiPr2Hg
1.0
3.6752 0.0000 0.0000
1.8376 3.1828 0.0000
1.8376 1.0609 10.5204
Li Pr Hg
1 2 1
direct
0.5003 0.5003 0.4992 Li
0.0792 0.0792 0.7625 Pr
0.2541 0.2541 0.2376 Pr
0.6664 0.6664 0.0007 Hg
```

Summary:
Density, g/cm3: 6.60
Energy above the lowest structure with this stoichiometry, meV per atom: 167
Symmetry: No. 160
Final energy, Ry per atom: -0.2203